PBE-GGA Nb2PdF, optimized geometry; total DFT energy (no corrections) = -7.09 eV/atom; excess energy over the best structure of this formula in the dataset = 0 meV per atom; total magnetic moment = 0.00 μB/atom; ΔE_f (raw) = -0.2891 eV per atom; D(E_F) = 7.0 states/eV/cell
1.0
0.0000 3.1482 3.1482
3.1482 0.0000 3.1482
3.1482 3.1482 0.0000
Nb Pd F
2 1 1
direct
0.2500 0.2500 0.2500
0.7500 0.7500 0.7500
0.0000 0.0000 0.0000
0.5000 0.5000 0.5000

=====

PBE-GGA Dy2TlPd8, optimized geometry; total DFT energy (no corrections) = -5.38 eV/atom; ΔH_f (0 K) = -584.7 kJ/mol of formula units; total magnetic moment = 0.00 μB/atom; D(E_F) = 4.9 states/eV/cell
1.0
7.3823 -2.1110 0.0000
7.3823 2.1110 0.0000
-1.8951 0.0000 6.3311
Dy Tl Pd
2 1 8
direct
0.2157 0.2157 0.1664
0.7843 0.7843 0.8336
0.5000 0.5000 0.5000
0.0361 0.0361 0.2219
0.1461 0.1461 0.6894
0.3275 0.3275 0.5949
0.4085 0.4085 0.0499
0.5915 0.5915 0.9501
0.6725 0.6725 0.4051
0.8539 0.8539 0.3106
0.9639 0.9639 0.7781

=====

PBE-GGA NaPu4Cu3Se12, optimized geometry; total DFT energy (no corrections) = -6.33 eV/atom; total magnetic moment = 0.88 μB/atom; ΔE_f (raw) = -0.6963 eV per atom; D(E_F) = 37.8 states/eV/cell
1.0
-5.1081 5.1081 5.1081
5.1081 -5.1081 5.1081
5.1081 5.1081 -5.1081
Na Pu Cu Se
1 4 3 12
direct
0.0000 0.0000 0.0000
0.0000 0.0000 0.5000
0.0000 0.5000 0.0000
0.5000 0.0000 0.0000
0.5000 0.5000 0.5000
0.0000 0.5000 0.5000
0.5000 0.0000 0.5000
0.5000 0.5000 0.0000
0.1602 0.4845 0.3243
0.1602 0.8359 0.6757
0.1641 0.3243 0.8398
0.3243 0.1602 0.4845
0.3243 0.8398 0.1641
0.4845 0.3243 0.1602
0.5155 0.6757 0.8398
0.6757 0.1602 0.8359
0.6757 0.8398 0.5155
0.8359 0.6757 0.1602
0.8398 0.1641 0.3243
0.8398 0.5155 0.6757

=====

PBE-GGA U2IrN, optimized geometry; total DFT energy (no corrections) = -10.62 eV/atom; excess energy over the best structure of this formula in the dataset = 0 meV per atom; total magnetic moment = 0.20 μB/atom; ΔE_f (raw) = -0.6756 eV per atom; D(E_F) = 6.6 states/eV/cell
1.0
1.6958 0.9791 6.8962
-1.6958 0.9791 6.8962
0.0000 -1.9582 6.8962
U Ir N
2 1 1
direct
0.2355 0.2355 0.2355
0.7645 0.7645 0.7645
0.0000 0.0000 0.0000
0.5000 0.5000 0.5000

=====

PBE-GGA Pr4NdSc, optimized geometry; total DFT energy (no corrections) = -5.00 eV/atom; ΔH_f (0 K) = 22.4 kJ/mol of formula units; excess energy over the best structure of this formula in the dataset = 0 meV per atom; total magnetic moment = 0.00 μB/atom; D(E_F) = 8.8 states/eV/cell
1.0
3.1520 -5.4424 0.0000
3.1520 5.4424 0.0000
-2.0969 0.0000 5.9240
Pr Nd Sc
4 1 1
direct
0.1623 0.8377 0.0000
0.3323 0.6677 0.5000
0.6677 0.3323 0.5000
0.8377 0.1623 0.0000
0.5000 0.5000 0.0000
0.0000 0.0000 0.5000

=====

PBE-GGA GdMgOs4, optimized geometry; total DFT energy (no corrections) = -10.10 eV/atom; ΔH_f (0 K) = 1.0 kJ/mol of formula units; total magnetic moment = 1.07 μB/atom; D(E_F) = 7.2 states/eV/cell
1.0
0.0000 3.7444 3.7444
3.7444 0.0000 3.7444
3.7444 3.7444 0.0000
Gd Mg Os
1 1 4
direct
0.0000 0.0000 0.0000
0.7500 0.7500 0.7500
0.3754 0.3754 0.3754
0.3754 0.3754 0.8738
0.3754 0.8738 0.3754
0.8738 0.3754 0.3754

=====

PBE-GGA PaCrRe, optimized geometry; total DFT energy (no corrections) = -9.55 eV/atom; ΔH_f (0 K) = 282.6 kJ/mol of formula units; excess energy over the best structure of this formula in the dataset = 1031 meV per atom; total magnetic moment = 0.00 μB/atom; D(E_F) = 9.2 states/eV/cell
1.0
5.6264 0.0000 0.0000
0.0000 3.8704 0.0000
0.0000 0.0000 5.3645
Pa Cr Re
2 2 2
direct
0.0000 0.0000 0.0000
0.5000 0.0000 0.0000
0.2500 0.0000 0.4217
0.7500 0.0000 0.5783
0.2500 0.5000 0.6570
0.7500 0.5000 0.3430

=====

PBE-GGA MnOsCl2, optimized geometry; total DFT energy (no corrections) = -5.61 eV/atom; excess energy over the best structure of this formula in the dataset = 440 meV per atom; total magnetic moment = 1.21 μB/atom; ΔE_f (raw) = 0.4096 eV per atom; D(E_F) = 1.8 states/eV/cell
1.0
-1.4990 1.8579 7.5255
1.4990 -1.8579 7.5255
1.4990 1.8579 -7.5255
Mn Os Cl
1 1 2
direct
0.0000 0.0000 0.0000
0.1434 0.6434 0.5000
0.4215 0.4215 0.0000
0.6822 0.1822 0.5000

=====

PBE-GGA RbVNiBr6, optimized geometry; total DFT energy (no corrections) = -3.74 eV/atom; total magnetic moment = 0.45 μB/atom; ΔE_f (raw) = -0.8629 eV per atom; D(E_F) = 9.0 states/eV/cell
1.0
6.6609 0.0000 0.0000
-3.3305 5.7685 0.0000
0.0000 0.0000 7.8006
Rb V Ni Br
1 1 1 6
direct
0.0000 0.0000 0.0000
0.6667 0.3333 0.5000
0.3333 0.6667 0.5000
0.9995 0.3714 0.6858
0.9995 0.6281 0.3142
0.3719 0.0005 0.6858
0.3719 0.3714 0.3142
0.6286 0.0005 0.3142
0.6286 0.6281 0.6858

=====

PBE-GGA Tl3CdC, optimized geometry; total DFT energy (no corrections) = -2.53 eV/atom; ΔH_f (0 K) = 441.3 kJ/mol of formula units; excess energy over the best structure of this formula in the dataset = 0 meV per atom; total magnetic moment = 0.00 μB/atom; D(E_F) = 2.4 states/eV/cell
1.0
5.1146 0.0000 0.0000
0.0000 5.1146 0.0000
0.0000 0.0000 5.1146
Tl Cd C
3 1 1
direct
0.0000 0.0000 0.5000
0.0000 0.5000 0.0000
0.5000 0.0000 0.0000
0.5000 0.5000 0.5000
0.0000 0.0000 0.0000

=====

PBE-GGA InPd7Au4, optimized geometry; total DFT energy (no corrections) = -4.32 eV/atom; ΔH_f (0 K) = 29.6 kJ/mol of formula units; total magnetic moment = 0.00 μB/atom; D(E_F) = 8.9 states/eV/cell
1.0
5.0735 -2.4781 0.0000
5.0735 2.4781 0.0000
-4.8838 0.0000 8.6634
In Pd Au
1 7 4
direct
0.0000 0.0000 0.0000
0.1134 0.1134 0.4579
0.2837 0.2837 0.0829
0.3451 0.3451 0.3820
0.5000 0.5000 0.0000
0.6549 0.6549 0.6180
0.7163 0.7163 0.9171
0.8866 0.8866 0.5421
0.1845 0.1845 0.7708
0.4157 0.4157 0.6890
0.5843 0.5843 0.3110
0.8155 0.8155 0.2292

=====

PBE-GGA TaRu2, optimized geometry; total DFT energy (no corrections) = -10.25 eV/atom; ΔH_f (0 K) = -34.5 kJ/mol of formula units; total magnetic moment = 0.00 μB/atom; D(E_F) = 5.8 states/eV/cell
1.0
5.0479 -1.4245 0.0000
5.0479 1.4245 0.0000
-1.4580 0.0000 6.3951
Ta Ru
2 4
direct
0.0000 0.0000 0.0000
0.6912 0.6912 0.3548
0.2793 0.2793 0.0544
0.3472 0.3472 0.6707
0.6240 0.6240 0.7263
0.9617 0.9617 0.3974

=====

PBE-GGA LiGePd3, optimized geometry; total DFT energy (no corrections) = -4.97 eV/atom; ΔH_f (0 K) = -262.5 kJ/mol of formula units; excess energy over the best structure of this formula in the dataset = 0 meV per atom; total magnetic moment = 0.00 μB/atom; D(E_F) = 5.2 states/eV/cell
1.0
2.1151 -7.9616 0.0000
2.1151 7.9616 0.0000
0.0000 0.0000 4.2282
Li Ge Pd
2 2 6
direct
0.1515 0.8485 0.7500
0.8485 0.1515 0.2500
0.3507 0.6493 0.7500
0.6493 0.3507 0.2500
0.0614 0.9386 0.2500
0.2501 0.7499 0.2500
0.4388 0.5612 0.2500
0.5612 0.4388 0.7500
0.7499 0.2501 0.7500
0.9386 0.0614 0.7500

=====

PBE-GGA SmCd6Hg12, optimized geometry; total DFT energy (no corrections) = -0.78 eV/atom; ΔH_f (0 K) = -91.2 kJ/mol of formula units; excess energy over the best structure of this formula in the dataset = 0 meV per atom; total magnetic moment = 0.00 μB/atom; D(E_F) = 6.4 states/eV/cell
1.0
6.7657 3.9062 3.1550
-6.7657 3.9062 3.1550
0.0000 -7.8124 3.1550
Sm Cd Hg
1 6 12
direct
0.0000 0.0000 0.0000
0.1663 0.2677 0.4373
0.2677 0.4373 0.1663
0.4373 0.1663 0.2677
0.5627 0.8337 0.7323
0.7323 0.5627 0.8337
0.8337 0.7323 0.5627
0.0007 0.8493 0.3035
0.1507 0.6965 0.9993
0.1600 0.6372 0.4825
0.3035 0.0007 0.8493
0.3628 0.5175 0.8400
0.4825 0.1600 0.6372
0.5175 0.8400 0.3628
0.6372 0.4825 0.1600
0.6965 0.9993 0.1507
0.8400 0.3628 0.5175
0.8493 0.3035 0.0007
0.9993 0.1507 0.6965

=====

PBE-GGA K2LaPt, optimized geometry; total DFT energy (no corrections) = -2.98 eV/atom; ΔH_f (0 K) = 119.2 kJ/mol of formula units; excess energy over the best structure of this formula in the dataset = 689 meV per atom; total magnetic moment = 0.09 μB/atom; D(E_F) = 3.3 states/eV/cell
1.0
2.9442 -6.0026 0.0000
2.9442 6.0026 0.0000
0.0000 0.0000 3.9043
K La Pt
2 1 1
direct
0.0000 0.5000 0.0000
0.5000 0.0000 0.0000
0.0000 0.0000 0.5000
0.5000 0.5000 0.5000

=====

PBE-GGA Th3Ge3Os, optimized geometry; total DFT energy (no corrections) = -7.41 eV/atom; ΔH_f (0 K) = -435.7 kJ/mol of formula units; total magnetic moment = 0.00 μB/atom; D(E_F) = 12.8 states/eV/cell
1.0
5.4930 -2.1414 0.0000
5.4930 2.1414 0.0000
-5.2486 0.0000 14.1252
Th Ge Os
6 6 2
direct
0.0275 0.0275 0.3847
0.1045 0.1045 0.9230
0.2409 0.2409 0.2367
0.7591 0.7591 0.7633
0.8955 0.8955 0.0770
0.9725 0.9725 0.6153
0.3468 0.3468 0.4638
0.3843 0.3843 0.9271
0.4777 0.4777 0.7635
0.5223 0.5223 0.2365
0.6157 0.6157 0.0729
0.6532 0.6532 0.5362
0.2562 0.2562 0.6216
0.7438 0.7438 0.3784

=====

PBE-GGA ZnCu4Re, optimized geometry; total DFT energy (no corrections) = -4.64 eV/atom; ΔH_f (0 K) = 217.4 kJ/mol of formula units; total magnetic moment = 0.22 μB/atom; D(E_F) = 4.6 states/eV/cell
1.0
0.0000 3.3866 3.3866
3.3866 0.0000 3.3866
3.3866 3.3866 0.0000
Zn Cu Re
1 4 1
direct
0.0000 0.0000 0.0000
0.1256 0.6248 0.6248
0.6248 0.1256 0.6248
0.6248 0.6248 0.1256
0.6248 0.6248 0.6248
0.2500 0.2500 0.2500

=====

PBE-GGA LiNiSe3, optimized geometry; total DFT energy (no corrections) = -3.01 eV/atom; excess energy over the best structure of this formula in the dataset = 654 meV per atom; total magnetic moment = 0.19 μB/atom; ΔE_f (raw) = 0.6175 eV per atom; D(E_F) = 6.4 states/eV/cell
1.0
4.6022 0.0000 0.0000
0.0000 4.6022 0.0000
0.0000 0.0000 4.6022
Li Ni Se
1 1 3
direct
0.0000 0.0000 0.0000
0.5000 0.5000 0.5000
0.0000 0.0000 0.5000
0.0000 0.5000 0.0000
0.5000 0.0000 0.0000

=====

PBE-GGA Pm12MgSi6, optimized geometry; total DFT energy (no corrections) = -5.26 eV/atom; total magnetic moment = 0.00 μB/atom; ΔE_f (raw) = -0.4627 eV per atom; D(E_F) = 13.7 states/eV/cell
1.0
-5.1407 5.1407 5.1407
5.1407 -5.1407 5.1407
5.1407 5.1407 -5.1407
Pm Mg Si
12 1 6
direct
0.1096 0.8111 0.2985
0.1889 0.2985 0.4873
0.1889 0.7015 0.8904
0.2985 0.1096 0.8111
0.2985 0.4873 0.1889
0.4873 0.1889 0.2985
0.5127 0.8111 0.7015
0.7015 0.5127 0.8111
0.7015 0.8904 0.1889
0.8111 0.2985 0.1096
0.8111 0.7015 0.5127
0.8904 0.1889 0.7015
0.0000 0.0000 0.0000
0.1144 0.6144 0.5000
0.3856 0.5000 0.8856
0.5000 0.1144 0.6144
0.5000 0.8856 0.3856
0.6144 0.5000 0.1144
0.8856 0.3856 0.5000

=====

PBE-GGA Co2ReNi, optimized geometry; total DFT energy (no corrections) = -8.10 eV/atom; ΔH_f (0 K) = 4.4 kJ/mol of formula units; excess energy over the best structure of this formula in the dataset = 0 meV per atom; total magnetic moment = 0.00 μB/atom; D(E_F) = 5.3 states/eV/cell
1.0
-1.8074 1.8074 3.5330
1.8074 -1.8074 3.5330
1.8074 1.8074 -3.5330
Co Re Ni
2 1 1
direct
0.2500 0.7500 0.5000
0.7500 0.2500 0.5000
0.0000 0.0000 0.0000
0.5000 0.5000 0.0000

=====

PBE-GGA Na3RhPb3O8, optimized geometry; total DFT energy (no corrections) = -5.27 eV/atom; total magnetic moment = 0.00 μB/atom; ΔE_f (raw) = -1.1290 eV per atom; D(E_F) = 5.2 states/eV/cell
1.0
5.8831 -3.4517 0.0000
5.8831 3.4517 0.0000
-3.9080 0.0000 5.6072
Na Rh Pb O
3 1 3 8
direct
0.0000 0.0000 0.0000
0.0000 0.5000 0.0000
0.5000 0.0000 0.0000
0.0000 0.0000 0.5000
0.0000 0.5000 0.5000
0.5000 0.0000 0.5000
0.5000 0.5000 0.5000
0.2026 0.7777 0.6978
0.2126 0.2126 0.6988
0.2223 0.7974 0.3022
0.2494 0.2494 0.2668
0.7506 0.7506 0.7332
0.7777 0.2026 0.6978
0.7874 0.7874 0.3012
0.7974 0.2223 0.3022

=====

PBE-GGA Ac2La3Nd3, optimized geometry; total DFT energy (no corrections) = -4.64 eV/atom; ΔH_f (0 K) = 16.1 kJ/mol of formula units; total magnetic moment = 0.00 μB/atom; D(E_F) = 13.8 states/eV/cell
1.0
-2.6807 2.6848 10.6147
2.6807 -2.6848 10.6147
2.6807 2.6848 -10.6147
Ac La Nd
2 3 3
direct
0.2492 0.2492 0.0000
0.7508 0.7508 0.0000
0.0000 0.0000 0.0000
0.3804 0.8804 0.5000
0.6196 0.1196 0.5000
0.1209 0.6209 0.5000
0.5000 0.5000 0.0000
0.8791 0.3791 0.5000

=====

PBE-GGA Tm4NiIr, optimized geometry; total DFT energy (no corrections) = -5.93 eV/atom; ΔH_f (0 K) = -291.8 kJ/mol of formula units; excess energy over the best structure of this formula in the dataset = 0 meV per atom; total magnetic moment = 0.00 μB/atom; D(E_F) = 10.8 states/eV/cell
1.0
6.0491 0.0000 0.0000
0.0000 6.5717 0.0000
-2.3074 0.0000 7.1240
Tm Ni Ir
8 2 2
direct
0.0021 0.0006 0.2609
0.0021 0.4994 0.2609
0.4276 0.7500 0.1060
0.4429 0.7500 0.6107
0.5571 0.2500 0.3893
0.5724 0.2500 0.8940
0.9979 0.5006 0.7391
0.9979 0.9994 0.7391
0.2371 0.2500 0.5637
0.7629 0.7500 0.4363
0.2145 0.2500 0.0498
0.7855 0.7500 0.9502